The following is a PBE calculation of a relaxed LiSnF3 crystal, from Alexandria. Values from VASP.

Summary:
Total magnetization   0.00 μB/atom
Excess energy over the best structure of this formula in the dataset   434 meV/atom
Density of states at the Fermi level   0.0 states/eV/cell

Quantum ESPRESSO input file:
```
&SYSTEM
  ibrav = 0, nat = 5, ntyp = 3
/
ATOMIC_SPECIES
Li 6.94 Li.upf
Sn 118.71 Sn.upf
F 19.00 F.upf
CELL_PARAMETERS angstrom
4.664 0.000 0.000
0.000 4.664 0.000
0.000 0.000 4.664
ATOMIC_POSITIONS angstrom
Li 2.332 2.332 2.332
Sn 0.000 0.000 0.000
F 0.000 2.332 0.000
F 0.000 0.000 2.332
F 2.332 0.000 0.000
```